Entry 1:
## Tl5Os (PBE)

Data for crystalline Tl5Os at its relaxed geometry.

Lattice parameters (Å, degrees): 9.552 9.552 5.304 90.00 90.00 160.72
Element x y z (fractional)
Tl: 0.365 0.635 0.000
Tl: 0.645 0.355 0.000
Tl: 0.452 0.548 0.500
Tl: 0.768 0.232 0.500
Tl: 0.096 0.904 0.500
Os: 0.007 0.993 0.000

## Properties
* density of states at the Fermi level: 3.68 states/eV per cell
* formation energy from the elements: 3.5 eV/f.u.
* relative energy among the computed polymorphs: 0.155 eV per atom
* total magnetization: 0.90 μB/f.u.

---

Entry 2:
## Na2SnTe4Pb (PBE)

Data for crystalline Na2SnTe4Pb at its relaxed geometry.

Lattice parameters (Å, degrees): 4.387 7.705 8.072 107.89 90.00 90.00
Element x y z (fractional)
Na: 0.500 0.000 0.500
Na: 0.000 0.500 0.500
Sn: 0.000 0.000 0.000
Te: 0.500 0.230 0.232
Te: 0.500 0.770 0.768
Te: 0.000 0.239 0.761
Te: 0.000 0.761 0.239
Pb: 0.500 0.500 0.000

## Properties
* DFT total energy: -26.76 eV per cell
* density of states at the Fermi level: 3.83 states/eV per cell
* total magnetization: 0.00 μB/f.u.

---

Entry 3:
## Nb2Ni3Ru (PBE)

Data for crystalline Nb2Ni3Ru at its relaxed geometry.

Lattice parameters (Å, degrees): 8.390 8.390 7.852 122.29 122.29 90.00
Element x y z (fractional)
Nb: 0.887 0.706 0.774
Nb: 0.363 0.682 0.726
Nb: 0.294 0.113 0.226
Nb: 0.318 0.637 0.274
Nb: 0.932 0.113 0.226
Nb: 0.956 0.637 0.274
Nb: 0.363 0.044 0.726
Nb: 0.887 0.068 0.774
Ni: 0.267 0.733 0.000
Ni: 0.125 0.875 0.250
Ni: 0.125 0.375 0.250
Ni: 0.733 0.733 0.000
Ni: 0.733 0.267 0.000
Ni: 0.983 0.483 0.500
Ni: 0.625 0.875 0.750
Ni: 0.125 0.875 0.750
Ni: 0.517 0.017 0.500
Ni: 0.517 0.483 0.500
Ni: 0.267 0.267 0.000
Ni: 0.983 0.017 0.500
Ru: 0.320 0.320 0.640
Ru: 0.680 0.680 0.360
Ru: 0.570 0.070 0.140
Ru: 0.930 0.430 0.860

## Properties
* density of states at the Fermi level: 21.90 states/eV per cell
* formation energy from the elements: 0.6 eV/f.u.
* total magnetization: 0.00 μB/f.u.

---

Entry 4:
## HgTeRu2 (PBE)

Data for crystalline HgTeRu2 at its relaxed geometry.

Lattice parameters (Å, degrees): 10.564 10.564 10.564 16.25 16.25 16.25
Element x y z (fractional)
Hg: 0.733 0.733 0.733
Ru: 0.988 0.988 0.988
Ru: 0.259 0.259 0.259
Te: 0.521 0.521 0.521

## Properties
* density of states at the Fermi level: 3.21 states/eV per cell
* relative energy among the computed polymorphs: 0.102 eV per atom
* total magnetization: 0.00 μB/f.u.

---

Entry 5:
## TaMnCr (PBE)

Data for crystalline TaMnCr at its relaxed geometry.

Lattice parameters (Å, degrees): 4.136 4.316 5.042 90.00 114.22 90.00
Element x y z (fractional)
Ta: 0.912 0.250 0.825
Ta: 0.088 0.750 0.175
Mn: 0.593 0.250 0.187
Mn: 0.407 0.750 0.813
Cr: 0.248 0.250 0.495
Cr: 0.752 0.750 0.505

## Properties
* density of states at the Fermi level: 5.15 states/eV per cell
* formation energy from the elements: 0.3 eV/f.u.
* relative energy among the computed polymorphs: 0.274 eV per atom
* total magnetization: 0.50 μB/f.u.

---

Entry 6:
## MgNpGa (PBE)

Data for crystalline MgNpGa at its relaxed geometry.

Lattice parameters (Å, degrees): 4.538 4.538 7.967 73.45 73.45 60.00
Element x y z (fractional)
Mg: 0.294 0.294 0.117
Mg: 0.706 0.706 0.883
Np: 0.153 0.153 0.541
Np: 0.847 0.847 0.459
Ga: 0.423 0.423 0.732
Ga: 0.577 0.577 0.268

## Properties
* density of states at the Fermi level: 4.39 states/eV per cell
* formation energy from the elements: 0.2 eV/f.u.
* total magnetization: 3.92 μB/f.u.

---

Entry 7:
## Li2Pm2ErSn2 (PBE)

Data for crystalline Li2Pm2ErSn2 at its relaxed geometry.

Lattice parameters (Å, degrees): 4.780 4.780 9.486 75.41 75.41 60.00
Element x y z (fractional)
Li: 0.606 0.606 0.183
Li: 0.394 0.394 0.817
Pm: 0.128 0.128 0.617
Pm: 0.872 0.872 0.383
Er: 0.000 0.000 0.000
Sn: 0.733 0.733 0.802
Sn: 0.267 0.267 0.198

## Properties
* density of states at the Fermi level: 4.51 states/eV per cell
* formation energy from the elements: -3.2 eV/f.u.
* total magnetization: 0.00 μB/f.u.

---

Entry 8:
## MnMo2W8 (PBE)

Data for crystalline MnMo2W8 at its relaxed geometry.

Lattice parameters (Å, degrees): 2.691 7.628 9.246 75.83 84.71 90.25
Element x y z (fractional)
Mn: 0.157 0.878 0.088
Mo: 0.071 0.300 0.324
Mo: 0.504 0.726 0.591
W: 0.813 0.553 0.082
W: 0.256 0.059 0.591
W: 0.377 0.636 0.330
W: 0.512 0.198 0.064
W: 0.724 0.385 0.587
W: 0.760 0.971 0.325
W: 0.187 0.469 0.835
W: 0.634 0.828 0.849

## Properties
* density of states at the Fermi level: 7.34 states/eV per cell
* formation energy from the elements: 4.1 eV/f.u.
* total magnetization: 1.08 μB/f.u.

---

Q: The lowest density of states at the Fermi level belongs to which entry?
A: HgTeRu2